1.
First-principles (PBE) data for a relaxed PuBeAsPt crystal, as listed in Alexandria.

Calculated values
Formation enthalpy at 0 K, meV/atom: -806
Final energy, eV/cell: -63.95

CIF file:
```
data_PuBeAsPt
_space_group_name_H-M_alt 'P 4/n m m'
_space_group_IT_number 129
_cell_length_a 4.0609
_cell_length_b 4.0609
_cell_length_c 8.8253
_cell_angle_alpha 90.00
_cell_angle_beta 90.00
_cell_angle_gamma 90.00
loop_
_space_group_symop_operation_xyz
'x,y,z'
'-x,-y,-z'
'-y+1/2,x,z'
'y+1/2,-x,-z'
'-x+1/2,-y+1/2,z'
'x+1/2,y+1/2,-z'
'y,-x+1/2,z'
'-y,x+1/2,-z'
'x+1/2,-y,-z'
'-x+1/2,y,z'
'-y,-x,-z'
'y,x,z'
'-x,y+1/2,-z'
'x,-y+1/2,z'
'y+1/2,x+1/2,-z'
'-y+1/2,-x+1/2,z'
loop_
_atom_site_label
_atom_site_type_symbol
_atom_site_fract_x
_atom_site_fract_y
_atom_site_fract_z
_atom_site_occupancy
Pu1 Pu 0.2500 0.2500 0.1990 1
Be1 Be 0.2500 0.2500 0.6220 1
As1 As 0.2500 0.2500 0.8708 1
Pt1 Pt 0.2500 0.7500 0.5000 1
```

---

2.
First-principles (PBE) data for a relaxed Hf6Sn2As crystal, as listed in Alexandria.

Calculated values
Formation enthalpy at 0 K, meV/atom: -516
Final energy, eV/cell: -77.02

CIF file:
```
data_Hf6Sn2As
_space_group_name_H-M_alt 'P -6 2 m'
_space_group_IT_number 189
_space_group_name_Hall 'P -6 -2'
_cell_length_a 7.6164
_cell_length_b 7.6164
_cell_length_c 3.7977
_cell_angle_alpha 90.00
_cell_angle_beta 90.00
_cell_angle_gamma 120.00
loop_
_atom_site_label
_atom_site_type_symbol
_atom_site_fract_x
_atom_site_fract_y
_atom_site_fract_z
_atom_site_occupancy
Hf1 Hf 0.0000 0.2497 0.0000 1
Hf2 Hf 0.0000 0.6082 0.5000 1
Sn1 Sn 0.3333 0.6667 0.0000 1
As1 As 0.0000 0.0000 0.5000 1
```